Record 1
Entry from the Alexandria database: an optimized crystal structure of Na3Ta2O5F2 (GGA-PBE).

Properties
Total magnetic moment ... 0.00 μB per atom
E_tot ... -7.319 eV per atom
Raw formation energy ... -2.6360 eV/atom

Lattice parameters (Å, degrees): 3.9931 3.9931 19.9538 90.00 90.00 90.00
Space group I4/mmm (No. 139)
One atom of each set of equivalent atoms:
Na 0.0000 0.0000 0.0000 (multiplicity 2)
Na 0.0000 0.0000 0.1837 (multiplicity 4)
Ta 0.0000 0.0000 0.4020 (multiplicity 4)
O 0.0000 0.0000 0.5000 (multiplicity 2)
O 0.0000 0.5000 0.1026 (multiplicity 8)
F 0.0000 0.0000 0.2957 (multiplicity 4)

Record 2
Entry from the Alexandria database: an optimized crystal structure of Na5TcO4F2 (GGA-PBE).

Properties
Total magnetic moment ... 0.17 μB per atom
E_tot ... -5.296 eV per atom
Raw formation energy ... -1.9181 eV/atom

Lattice parameters (Å, degrees): 6.6971 9.4790 5.6239 90.00 90.00 90.00
Space group Amm2 (No. 38)
One atom of each set of equivalent atoms:
Na 0.0000 0.0000 0.0000 (multiplicity 2)
Na 0.2507 0.1875 0.4956 (multiplicity 8)
Tc 0.5000 0.0000 0.0151 (multiplicity 2)
O 0.2826 0.0000 0.2212 (multiplicity 4)
O 0.5000 0.1582 0.8213 (multiplicity 4)
F 0.0000 0.1914 0.7694 (multiplicity 4)

Record 3
Entry from the Alexandria database: an optimized crystal structure of NaTeO2F (GGA-PBE).

Properties
Total magnetic moment ... 0.00 μB per atom
E_tot ... -4.632 eV per atom
Raw formation energy ... -1.3823 eV/atom

Lattice parameters (Å, degrees): 4.1681 4.1681 4.5875 90.00 90.00 90.00
Space group P4/mmm (No. 123)
One atom of each set of equivalent atoms:
Na 0.0000 0.0000 0.0000 (multiplicity 1)
Te 0.5000 0.5000 0.5000 (multiplicity 1)
O 0.0000 0.5000 0.5000 (multiplicity 2)
F 0.5000 0.5000 0.0000 (multiplicity 1)

Record 4
Entry from the Alexandria database: an optimized crystal structure of NaTeO2F (GGA-PBE).

Properties
Total magnetic moment ... 0.05 μB per atom
E_tot ... -3.525 eV per atom
Raw formation energy ... -0.2757 eV/atom

Lattice parameters (Å, degrees): 4.1255 4.1255 3.7999 90.00 90.00 90.00
Space group P4/mmm (No. 123)
One atom of each set of equivalent atoms:
Na 0.0000 0.0000 0.0000 (multiplicity 1)
Te 0.5000 0.5000 0.5000 (multiplicity 1)
O 0.0000 0.5000 0.0000 (multiplicity 2)
F 0.0000 0.0000 0.5000 (multiplicity 1)

Record 5
Entry from the Alexandria database: an optimized crystal structure of Na2TiO2F2 (GGA-PBE).

Properties
Total magnetic moment ... 0.00 μB per atom
E_tot ... -6.245 eV per atom
Raw formation energy ... -2.7891 eV/atom

Lattice parameters (Å, degrees): 3.8598 3.8598 11.8285 90.00 90.00 90.00
Space group I4/mmm (No. 139)
One atom of each set of equivalent atoms:
Na 0.0000 0.0000 0.1393 (multiplicity 4)
Ti 0.0000 0.0000 0.5000 (multiplicity 2)
O 0.0000 0.5000 0.0000 (multiplicity 4)
F 0.0000 0.0000 0.3304 (multiplicity 4)

Record 6
Entry from the Alexandria database: an optimized crystal structure of Na3Ti2O3F4 (GGA-PBE).

Properties
Total magnetic moment ... 0.08 μB per atom
E_tot ... -6.327 eV per atom
Raw formation energy ... -2.8184 eV/atom

Lattice parameters (Å, degrees): 3.8031 19.8000 4.0939 90.00 90.00 90.00
Space group Imm2 (No. 44)
One atom of each set of equivalent atoms:
Na 0.0000 0.0000 0.0000 (multiplicity 2)
Na 0.0000 0.1896 0.8840 (multiplicity 4)
Ti 0.0000 0.4051 0.9497 (multiplicity 4)
O 0.0000 0.1051 0.4307 (multiplicity 4)
O 0.0000 0.5000 0.9433 (multiplicity 2)
F 0.0000 0.2986 0.0193 (multiplicity 4)
F 0.0000 0.4015 0.4475 (multiplicity 4)

Record 7
Entry from the Alexandria database: an optimized crystal structure of NaTlOF2 (GGA-PBE).

Properties
Total magnetic moment ... 0.00 μB per atom
Offset from the most stable computed form ... 0 meV/atom
E_tot ... -4.051 eV per atom
Raw formation energy ... -1.5741 eV/atom

Lattice parameters (Å, degrees): 4.6044 4.6044 4.0935 90.00 90.00 90.00
Space group P4/mmm (No. 123)
One atom of each set of equivalent atoms:
Na 0.0000 0.0000 0.0000 (multiplicity 1)
Tl 0.5000 0.5000 0.5000 (multiplicity 1)
O 0.5000 0.5000 0.0000 (multiplicity 1)
F 0.0000 0.5000 0.5000 (multiplicity 2)

Record 8
Entry from the Alexandria database: an optimized crystal structure of NaTlO2F (GGA-PBE).

Properties
Total magnetic moment ... 0.10 μB per atom
E_tot ... -4.040 eV per atom
Raw formation energy ... -0.9456 eV/atom

Lattice parameters (Å, degrees): 4.2090 4.2090 4.6605 90.00 90.00 90.00
Space group P4/mmm (No. 123)
One atom of each set of equivalent atoms:
Na 0.0000 0.0000 0.0000 (multiplicity 1)
Tl 0.5000 0.5000 0.5000 (multiplicity 1)
O 0.0000 0.5000 0.5000 (multiplicity 2)
F 0.5000 0.5000 0.0000 (multiplicity 1)

Record 9
Entry from the Alexandria database: an optimized crystal structure of NaTlO2F (GGA-PBE).

Properties
Total magnetic moment ... 0.60 μB per atom
E_tot ... -3.535 eV per atom
Raw formation energy ... -0.4401 eV/atom

Lattice parameters (Å, degrees): 4.4010 4.4010 4.2969 90.00 90.00 90.00
Space group P4/mmm (No. 123)
One atom of each set of equivalent atoms:
Na 0.0000 0.0000 0.0000 (multiplicity 1)
Tl 0.5000 0.5000 0.5000 (multiplicity 1)
O 0.0000 0.5000 0.0000 (multiplicity 2)
F 0.0000 0.0000 0.5000 (multiplicity 1)

Record 10
Entry from the Alexandria database: an optimized crystal structure of NaTlOF2 (GGA-PBE).

Properties
Total magnetic moment ... 0.37 μB per atom
Offset from the most stable computed form ... 443 meV/atom
E_tot ... -3.608 eV per atom
Raw formation energy ... -1.1308 eV/atom

Lattice parameters (Å, degrees): 4.2073 4.2073 4.4356 90.00 90.00 90.00
Space group P4/mmm (No. 123)
One atom of each set of equivalent atoms:
Na 0.0000 0.0000 0.0000 (multiplicity 1)
Tl 0.5000 0.5000 0.5000 (multiplicity 1)
O 0.0000 0.0000 0.5000 (multiplicity 1)
F 0.0000 0.5000 0.0000 (multiplicity 2)

Record 11
Entry from the Alexandria database: an optimized crystal structure of Na2U2O5F2 (GGA-PBE).

Properties
Total magnetic moment ... 0.18 μB per atom
E_tot ... -7.889 eV per atom
Raw formation energy ... -3.0033 eV/atom

Lattice parameters (Å, degrees): 4.2526 4.2526 20.7625 90.00 90.00 90.00
Space group I4/mmm (No. 139)
One atom of each set of equivalent atoms:
Na 0.0000 0.0000 0.1837 (multiplicity 4)
U 0.0000 0.0000 0.3989 (multiplicity 4)
O 0.0000 0.0000 0.5000 (multiplicity 2)
O 0.0000 0.5000 0.1144 (multiplicity 8)
F 0.0000 0.0000 0.2905 (multiplicity 4)

Q: Which value of raw formation energy does entry 9 give?
A: -0.4401 eV/atom

Q: Which of these has the highest total magnetic moment?
A: number 9

Q: Number 5 is which compound?
A: Na2TiO2F2

Please write out number 9 again, unchanged.
Entry from the Alexandria database: an optimized crystal structure of NaTlO2F (GGA-PBE).

Properties
Total magnetic moment ... 0.60 μB per atom
E_tot ... -3.535 eV per atom
Raw formation energy ... -0.4401 eV/atom

Lattice parameters (Å, degrees): 4.4010 4.4010 4.2969 90.00 90.00 90.00
Space group P4/mmm (No. 123)
One atom of each set of equivalent atoms:
Na 0.0000 0.0000 0.0000 (multiplicity 1)
Tl 0.5000 0.5000 0.5000 (multiplicity 1)
O 0.0000 0.5000 0.0000 (multiplicity 2)
F 0.0000 0.0000 0.5000 (multiplicity 1)